# 1
Material: Pm3VB2N6
Method: DFT, PBE-GGA
State: optimized geometry

CIF file:
```
data_Pm3VB2N6
_chemical_formula_sum 'Pm3 V1 B2 N6'
_symmetry_space_group_name_H-M 'P -3 m 1'
_symmetry_Int_Tables_number 164
_symmetry_space_group_name_Hall '-P 3 2"'
_cell_length_a 5.3772
_cell_length_b 5.3772
_cell_length_c 6.1152
_cell_angle_alpha 90.00
_cell_angle_beta 90.00
_cell_angle_gamma 120.00
loop_
_atom_site_label
_atom_site_type_symbol
_atom_site_fract_x
_atom_site_fract_y
_atom_site_fract_z
Pm1 Pm 0.0000 0.0000 0.0000
Pm2 Pm 0.3333 0.6667 0.6647
V1 V 0.0000 0.0000 0.5000
B1 B 0.3333 0.6667 0.2617
N1 N 0.1780 0.3559 0.2941
```

Formation energy without anion corrections (eV per formula unit): -12.90

---

# 2
Material: Ho4SbSe2
Method: DFT, PBE-GGA
State: optimized geometry

CIF file:
```
data_Ho4SbSe2
_chemical_formula_sum 'Ho16 Sb4 Se8'
_symmetry_space_group_name_H-M 'C m c m'
_symmetry_Int_Tables_number 63
_symmetry_space_group_name_Hall '-C 2c 2'
_cell_length_a 4.080
_cell_length_b 13.161
_cell_length_c 13.719
_cell_angle_alpha 90.00
_cell_angle_beta 90.00
_cell_angle_gamma 90.00
loop_
_atom_site_label
_atom_site_type_symbol
_atom_site_fract_x
_atom_site_fract_y
_atom_site_fract_z
Ho1 Ho 0.000 0.000 0.000
Ho2 Ho 0.000 0.273 0.124
Ho3 Ho 0.000 0.430 0.750
Sb1 Sb 0.000 0.102 0.750
Se1 Se 0.000 0.363 0.559
```

Formation energy without anion corrections (eV per formula unit): -9.06
E above lowest polymorph (meV per atom): 0.0

---

# 3
Material: CsRu2W
Method: DFT, PBE-GGA
State: optimized geometry

CIF file:
```
data_CsRu2W
_chemical_formula_sum 'Cs4 Ru8 W4'
_symmetry_space_group_name_H-M 'I -4 2 d'
_symmetry_Int_Tables_number 122
_symmetry_space_group_name_Hall 'I -4 2bw'
_cell_length_a 7.342
_cell_length_b 7.342
_cell_length_c 7.134
_cell_angle_alpha 90.00
_cell_angle_beta 90.00
_cell_angle_gamma 90.00
loop_
_atom_site_label
_atom_site_type_symbol
_atom_site_fract_x
_atom_site_fract_y
_atom_site_fract_z
Cs1 Cs 0.000 0.000 0.000
Ru1 Ru 0.176 0.250 0.625
W1 W 0.000 0.000 0.500
```

Formation energy from the elements (eV/atom): 1.472
E above lowest polymorph (meV per atom): 0.0

---

# 4
Material: LiVGa
Method: DFT, PBE-GGA
State: optimized geometry

CIF file:
```
data_LiVGa
_chemical_formula_sum 'Li2 V2 Ga2'
_symmetry_space_group_name_H-M 'P 4/n m m'
_symmetry_Int_Tables_number 129
_cell_length_a 3.120
_cell_length_b 3.120
_cell_length_c 9.216
_cell_angle_alpha 90.00
_cell_angle_beta 90.00
_cell_angle_gamma 90.00
loop_
_symmetry_equiv_pos_as_xyz
'x,y,z'
'-x,-y,-z'
'-y+1/2,x,z'
'y+1/2,-x,-z'
'-x+1/2,-y+1/2,z'
'x+1/2,y+1/2,-z'
'y,-x+1/2,z'
'-y,x+1/2,-z'
'x+1/2,-y,-z'
'-x+1/2,y,z'
'-y,-x,-z'
'y,x,z'
'-x,y+1/2,-z'
'x,-y+1/2,z'
'y+1/2,x+1/2,-z'
'-y+1/2,-x+1/2,z'
loop_
_atom_site_label
_atom_site_type_symbol
_atom_site_fract_x
_atom_site_fract_y
_atom_site_fract_z
Li1 Li 0.250 0.250 0.098
V1 V 0.250 0.250 0.437
Ga1 Ga 0.250 0.250 0.733
```

Formation energy from the elements (eV/atom): -0.194
E above lowest polymorph (meV per atom): 0.0

---

# 5
Material: PrPu2Al2Si2
Method: DFT, PBE-GGA
State: optimized geometry

CIF file:
```
data_PrPu2Al2Si2
_chemical_formula_sum 'Pr3 Pu6 Al6 Si6'
_symmetry_space_group_name_H-M 'R -3 m'
_symmetry_Int_Tables_number 166
_symmetry_space_group_name_Hall '-R 3 2"'
_cell_length_a 4.0866
_cell_length_b 4.0866
_cell_length_c 27.5546
_cell_angle_alpha 90.00
_cell_angle_beta 90.00
_cell_angle_gamma 120.00
loop_
_atom_site_label
_atom_site_type_symbol
_atom_site_fract_x
_atom_site_fract_y
_atom_site_fract_z
Pr1 Pr 0.0000 0.0000 0.0000
Pu1 Pu 0.0000 0.0000 0.1520
Al1 Al 0.0000 0.0000 0.4163
Si1 Si 0.0000 0.0000 0.2591
```

Formation energy without anion corrections (eV per formula unit): -1.46

---

# 6
Material: Hf2BeTc2B4
Method: DFT, PBE-GGA
State: optimized geometry

CIF file:
```
data_Hf2BeTc2B4
_chemical_formula_sum 'Hf4 Be2 Tc4 B8'
_symmetry_space_group_name_H-M 'I 4/m m m'
_symmetry_Int_Tables_number 139
_symmetry_space_group_name_Hall '-I 4 2'
_cell_length_a 5.367
_cell_length_b 5.367
_cell_length_c 7.321
_cell_angle_alpha 90.00
_cell_angle_beta 90.00
_cell_angle_gamma 90.00
loop_
_atom_site_label
_atom_site_type_symbol
_atom_site_fract_x
_atom_site_fract_y
_atom_site_fract_z
Hf1 Hf 0.000 0.500 0.250
Be1 Be 0.000 0.000 0.000
Tc1 Tc 0.000 0.000 0.320
B1 B 0.238 0.238 0.500
```

Formation energy from the elements (eV/atom): 0.169

---

# 7
Material: BaScFe2
Method: DFT, PBE-GGA
State: optimized geometry

CIF file:
```
data_BaScFe2
_chemical_formula_sum 'Ba1 Sc1 Fe2'
_symmetry_space_group_name_H-M 'P 4 m m'
_symmetry_Int_Tables_number 99
_symmetry_space_group_name_Hall 'P 4 -2'
_cell_length_a 3.313
_cell_length_b 3.313
_cell_length_c 8.322
_cell_angle_alpha 90.00
_cell_angle_beta 90.00
_cell_angle_gamma 90.00
loop_
_atom_site_label
_atom_site_type_symbol
_atom_site_fract_x
_atom_site_fract_y
_atom_site_fract_z
Ba1 Ba 0.000 0.000 0.000
Sc1 Sc 0.500 0.500 0.602
Fe1 Fe 0.000 0.000 0.405
Fe2 Fe 0.500 0.500 0.297
```

Formation energy from the elements (eV/atom): 0.374
E above lowest polymorph (meV per atom): 137.2

---

# 8
Material: YAgAu4
Method: DFT, PBE-GGA
State: optimized geometry

CIF file:
```
data_YAgAu4
_chemical_formula_sum 'Y4 Ag4 Au16'
_symmetry_space_group_name_H-M 'F -4 3 m'
_symmetry_Int_Tables_number 216
_symmetry_space_group_name_Hall 'F -4 2 3'
_cell_length_a 7.841
_cell_length_b 7.841
_cell_length_c 7.841
_cell_angle_alpha 90.00
_cell_angle_beta 90.00
_cell_angle_gamma 90.00
loop_
_atom_site_label
_atom_site_type_symbol
_atom_site_fract_x
_atom_site_fract_y
_atom_site_fract_z
Y1 Y 0.000 0.000 0.000
Ag1 Ag 0.250 0.250 0.250
Au1 Au 0.125 0.125 0.625
```

Formation energy from the elements (eV/atom): -0.398
E above lowest polymorph (meV per atom): 21.5

---

no.,calculated volume (Å³ per cell),D(E_F) (states/eV/cell)
1,153,4.27
2,737,17.25
3,385,14.50
4,90,3.22
5,399,21.70
6,211,6.38
7,91,5.08
8,482,20.96